[1]
This record from the Open Quantum Materials Database describes crystalline USnSb at its relaxed geometry. The functional is GGA-PBE.

Output
* crystal system: cubic
* DFT total energy: -74.70 eV/cell
* magnetic moment: 9.33 μB per cell

Structure (CIF):
```
data_USnSb
_cell_length_a 7.2267
_cell_length_b 7.2267
_cell_length_c 7.2267
_cell_angle_alpha 90.00
_cell_angle_beta 90.00
_cell_angle_gamma 90.00
_symmetry_space_group_name_H-M 'F -4 3 m'
_symmetry_Int_Tables_number 216
_symmetry_space_group_name_Hall 'F -4 2 3'
loop_
_atom_site_label
_atom_site_type_symbol
_atom_site_fract_x
_atom_site_fract_y
_atom_site_fract_z
U1 U 0.0000 0.0000 0.0000
Sn1 Sn 0.2500 0.2500 0.2500
Sb1 Sb 0.2500 0.2500 0.7500
```

[2]
This record from the Open Quantum Materials Database describes crystalline Zr3Sn4Sb4 at its relaxed geometry. The functional is GGA-PBE.

Output
* crystal system: tetragonal
* DFT total energy: -112.46 eV/cell
* magnetic moment: 0.01 μB per cell

Structure (CIF):
```
data_Zr3Sn4Sb4
_cell_length_a 7.7146
_cell_length_b 7.7146
_cell_length_c 11.5765
_cell_angle_alpha 90.00
_cell_angle_beta 90.00
_cell_angle_gamma 90.00
_symmetry_space_group_name_H-M 'I -4 2 m'
_symmetry_Int_Tables_number 121
_symmetry_space_group_name_Hall 'I -4 2'
loop_
_atom_site_label
_atom_site_type_symbol
_atom_site_fract_x
_atom_site_fract_y
_atom_site_fract_z
Zr1 Zr 0.0000 0.0000 0.0000
Zr2 Zr 0.0000 0.5000 0.2500
Sn1 Sn 0.2201 0.2201 0.1424
Sb1 Sb 0.0000 0.0000 0.2935
Sb2 Sb 0.0000 0.5000 0.0000
```

[3]
This record from the Open Quantum Materials Database describes crystalline ZrSnSb2 at its relaxed geometry. The functional is GGA-PBE.

Output
* crystal system: cubic
* DFT total energy: -81.06 eV/cell
* magnetic moment: 0.48 μB per cell

Structure (CIF):
```
data_ZrSnSb2
_cell_length_a 7.4009
_cell_length_b 7.4009
_cell_length_c 7.4009
_cell_angle_alpha 90.00
_cell_angle_beta 90.00
_cell_angle_gamma 90.00
_symmetry_space_group_name_H-M 'F -4 3 m'
_symmetry_Int_Tables_number 216
_symmetry_space_group_name_Hall 'F -4 2 3'
loop_
_atom_site_label
_atom_site_type_symbol
_atom_site_fract_x
_atom_site_fract_y
_atom_site_fract_z
Zr1 Zr 0.0000 0.0000 0.0000
Sn1 Sn 0.2500 0.2500 0.7500
Sb1 Sb 0.0000 0.0000 0.5000
Sb2 Sb 0.2500 0.2500 0.2500
```